Material: Ce5NpN6
Method: DFT, GGA-PBE
State: optimized geometry

Cell and atoms, written as POSCAR:
```
Ce5NpN6
1.0
6.077 0.147 0.923
1.492 5.154 3.004
0.102 0.056 6.146
Np Ce N
1 5 6
Cartesian
0.000 0.000 0.000
3.357 0.976 5.049
0.532 1.738 3.047
3.785 2.650 1.963
1.062 3.471 6.104
4.314 4.381 5.024
4.772 0.541 2.900
2.386 3.153 3.988
1.831 1.263 0.940
5.738 4.038 2.987
5.285 2.204 6.086
2.899 4.816 7.173
```

Computed properties:
- space group = C2/m
- formation energy from raw total energies (eV/atom) = -1.427

***

Material: Co3HSe
Method: DFT, GGA-PBE
State: optimized geometry

Cell and atoms, written as POSCAR:
```
Co3HSe
1.0
-3.374 0.234 2.860
2.674 -1.348 3.264
1.043 4.213 0.885
H Co Se
1 3 1
Cartesian
0.171 1.550 3.505
1.337 -0.674 1.632
0.521 2.106 0.443
-1.687 0.117 1.430
0.000 0.000 0.000
```

Computed properties:
- space group = Pm-3m
- energy above the lowest structure with this stoichiometry (kJ/mol of atoms) = 99.3

***

Material: OsPt2Cl
Method: DFT, GGA-PBE
State: optimized geometry

Cell and atoms, written as POSCAR:
```
OsPt2Cl
1.0
2.743 0.000 0.000
0.000 4.662 0.000
0.000 0.000 4.983
Cl Os Pt
1 1 2
Cartesian
1.372 0.000 2.491
0.000 2.331 2.491
0.000 0.000 0.000
1.372 2.331 0.000
```

Computed properties:
- space group = Pmmm
- energy above the lowest structure with this stoichiometry (kJ/mol of atoms) = 57.9
- formation energy from raw total energies (eV/atom) = 0.899

***

Material: Mg12Tl6Pb
Method: DFT, GGA-PBE
State: optimized geometry

Cell and atoms, written as POSCAR:
```
Mg12Tl6Pb
1.0
7.874 -0.340 0.005
0.004 7.881 0.005
-0.355 -0.340 7.866
Mg Tl Pb
12 6 1
Cartesian
3.547 1.216 4.504
1.405 4.280 3.749
4.436 3.490 1.575
3.976 5.984 3.371
6.118 2.921 4.126
3.086 3.710 6.300
6.355 7.257 4.966
2.907 1.169 0.128
0.069 2.853 1.300
1.168 -0.056 2.909
4.616 6.031 7.747
7.454 4.348 6.575
0.699 1.856 5.395
5.434 1.930 6.930
2.220 6.583 5.745
6.823 5.344 2.480
2.089 5.271 0.945
5.303 0.617 2.130
0.000 0.000 0.000
```

Computed properties:
- space group = R-3
- energy above the lowest structure with this stoichiometry (kJ/mol of atoms) = 0.2
- E_form (meV per atom) = 46

***

How do the records compare in total magnetic moment? In the order shown, they have 4.8, 6.0, 0.0, 0.0 Bohr magnetons per cell.